[1]
An optimized crystal structure of KNa2SbH, computed with PBE.

Mass density   2.7 g/cm3
Final energy   -12.2 eV per cell
Space group   No. 123

a b c (Å): 4.9435 4.9435 5.2489
angles (deg): 90.00 90.00 90.00
Positions (direct):
H 0.0000 0.0000 0.0000
Sb 0.5000 0.5000 0.5000
Na 0.5000 0.0000 0.0000
Na 0.0000 0.5000 0.0000
K 0.0000 0.0000 0.5000

=====

[2]
An optimized crystal structure of ZrSc2Os4, computed with PBE.

Mass density   10.3 g/cm3
Final energy   -56.5 eV per cell
Space group   No. 139

a b c (Å): 4.7771 4.7771 7.4706
angles (deg): 71.35 71.35 90.00
Positions (direct):
Os 0.8117 0.8117 0.3766
Os 0.1883 0.1883 0.6234
Zr 0.0000 0.0000 0.0000
Sc 0.6238 0.6238 0.7525
Os 0.5000 0.0000 0.0000
Os 0.0000 0.5000 0.0000
Sc 0.3762 0.3762 0.2475